No. 1
Computed, not measured: a geometry-optimized LaYGe2Rh5 structure at the GGA-PBE level of DFT.

Results
Density of states at the Fermi level in states/eV/atom: 0.64
Volume in Å³ per cell: 161.4
E_form in eV/atom: -0.698
E in eV per formula unit: -63.67
Magnetization in μB per formula unit: 0.0

Unit cell a=4.223 b=4.223 c=9.051 alpha=90.00 beta=90.00 gamma=90.00
Space group P4/mmm (No. 123)
Asymmetric unit:
La: 0.000 0.000 0.000
Y: 0.000 0.000 0.500
Ge: 0.500 0.500 0.361
Rh: 0.000 0.500 0.235
Rh: 0.500 0.500 0.000


No. 2
Computed, not measured: a geometry-optimized LaZn2GeRh2 structure at the GGA-PBE level of DFT.

Results
Density of states at the Fermi level in states/eV/atom: 1.11
Volume in Å³ per cell: 123.0
E_form in eV/atom: -0.321
E in eV per formula unit: -28.72
Magnetization in μB per formula unit: 0.5

Unit cell a=4.599 b=4.599 c=5.815 alpha=90.00 beta=90.00 gamma=90.00
Space group P4/mmm (No. 123)
Asymmetric unit:
La: 0.000 0.000 0.000
Zn: 0.500 0.500 0.242
Ge: 0.000 0.000 0.500
Rh: 0.000 0.500 0.500


Q: Which of these has the highest E?
A: LaZn2GeRh2


Q: The lowest E_form belongs to which entry?
A: LaYGe2Rh5